[1]
The following is a DFT calculation (GGA-PBE) of a geometry-optimized ZnCrNi2 structure. Values from VASP.

Calculated values
* density: 8.26 g/cm3
* energy relative to the elements: 0.0151 eV per atom

```
&SYSTEM
  ibrav = 0, nat = 4, ntyp = 3
/
ATOMIC_SPECIES
Cr 52.00 Cr.upf
Ni 58.69 Ni.upf
Zn 65.41 Zn.upf
CELL_PARAMETERS angstrom
4.2197 0.0000 0.0000
0.0000 2.5372 -0.0714
0.0000 0.1225 4.4030
ATOMIC_POSITIONS angstrom
Cr 2.1099 1.6848 3.5299
Ni 0.0000 0.4333 4.1539
Ni 2.1099 0.3545 1.3180
Zn 0.0000 1.6395 1.8987
```

[2]
The following is a DFT calculation (GGA-PBE) of a geometry-optimized FeHgBr2 structure. Values from VASP.

Calculated values
* density: 6.38 g/cm3
* raw formation energy: 1.418 eV/f.u.

```
&SYSTEM
  ibrav = 0, nat = 4, ntyp = 3
/
ATOMIC_SPECIES
Br 79.90 Br.upf
Fe 55.84 Fe.upf
Hg 200.59 Hg.upf
CELL_PARAMETERS angstrom
4.0160 0.0000 0.0000
0.0000 6.6623 0.0000
0.0000 0.0000 4.0467
ATOMIC_POSITIONS angstrom
Br 0.0000 0.0000 0.0000
Br 2.0080 3.3312 0.0000
Fe 2.0080 0.0000 2.0233
Hg 0.0000 3.3312 2.0233
```

[3]
The following is a DFT calculation (GGA-PBE) of a geometry-optimized Y2Ge2Se structure. Values from VASP.

Calculated values
* density: 5.43 g/cm3
* raw formation energy: -4.989 eV/f.u.

```
&SYSTEM
  ibrav = 0, nat = 10, ntyp = 3
/
ATOMIC_SPECIES
Y 88.91 Y.upf
Ge 72.64 Ge.upf
Se 78.96 Se.upf
CELL_PARAMETERS angstrom
7.6592 0.0000 0.0000
0.0000 7.6592 0.0000
0.0000 0.0000 4.1880
ATOMIC_POSITIONS angstrom
Y 2.4296 6.2592 0.0000
Y 6.2592 5.2296 0.0000
Y 5.2296 1.4000 0.0000
Y 1.4000 2.4296 0.0000
Ge 0.8575 4.6871 2.0940
Ge 4.6871 6.8017 2.0940
Ge 6.8017 2.9721 2.0940
Ge 2.9721 0.8575 2.0940
Se 0.0000 0.0000 0.0000
Se 3.8296 3.8296 0.0000
```

[4]
The following is a DFT calculation (GGA-PBE) of a geometry-optimized K2AcCd2O4 structure. Values from VASP.

Calculated values
* density: 5.41 g/cm3
* raw formation energy: -14.633 eV/f.u.

```
&SYSTEM
  ibrav = 0, nat = 9, ntyp = 4
/
ATOMIC_SPECIES
K 39.10 K.upf
Ac 227.00 Ac.upf
Cd 112.41 Cd.upf
O 16.00 O.upf
CELL_PARAMETERS angstrom
3.8149 0.0000 0.0000
0.0000 9.0490 -1.0491
-1.9075 -4.7331 5.8335
ATOMIC_POSITIONS angstrom
K 0.0000 3.5310 1.4663
K 1.9075 0.7849 3.3181
Ac 0.0000 0.0000 0.0000
Cd 1.9075 6.5881 0.5490
Cd 0.0000 -2.2721 4.2354
O 0.0000 -1.1212 2.2840
O 1.9075 5.4372 2.5004
O 0.0000 2.7381 4.2591
O 1.9075 1.5778 0.5253
```

[5]
The following is a DFT calculation (GGA-PBE) of a geometry-optimized ErSc12Al3 structure. Values from VASP.

Calculated values
* density: 3.61 g/cm3
* energy relative to the elements: -0.1587 eV per atom

```
&SYSTEM
  ibrav = 0, nat = 16, ntyp = 3
/
ATOMIC_SPECIES
Er 167.26 Er.upf
Sc 44.96 Sc.upf
Al 26.98 Al.upf
CELL_PARAMETERS angstrom
4.4600 0.0000 0.0000
0.0000 4.4600 0.0000
0.0000 0.0000 18.2092
ATOMIC_POSITIONS angstrom
Er 0.0000 0.0000 0.0000
Sc 2.2300 2.2300 0.0000
Sc 2.2300 2.2300 4.7310
Sc 2.2300 2.2300 9.1046
Sc 2.2300 2.2300 13.4781
Sc 2.2300 0.0000 2.4941
Sc 2.2300 0.0000 6.9084
Sc 2.2300 0.0000 11.3008
Sc 2.2300 0.0000 15.7151
Sc 0.0000 2.2300 2.4941
Sc 0.0000 2.2300 6.9084
Sc 0.0000 2.2300 11.3008
Sc 0.0000 2.2300 15.7151
Al 0.0000 0.0000 4.7044
Al 0.0000 0.0000 9.1046
Al 0.0000 0.0000 13.5048
```

[6]
The following is a DFT calculation (GGA-PBE) of a geometry-optimized ZnBi2P2 structure. Values from VASP.

Calculated values
* density: 7.80 g/cm3
* energy relative to the elements: 0.3380 eV per atom

```
&SYSTEM
  ibrav = 0, nat = 10, ntyp = 3
/
ATOMIC_SPECIES
P 30.97 P.upf
Zn 65.41 Zn.upf
Bi 208.98 Bi.upf
CELL_PARAMETERS angstrom
7.6560 0.0000 0.0000
0.0000 7.6560 0.0000
0.0000 0.0000 3.9637
ATOMIC_POSITIONS angstrom
P 2.5641 6.3921 0.0000
P 6.3921 5.0919 0.0000
P 5.0919 1.2639 0.0000
P 1.2639 2.5641 0.0000
Zn 0.0000 0.0000 0.0000
Zn 3.8280 3.8280 0.0000
Bi 1.1990 5.0270 1.9819
Bi 5.0270 6.4570 1.9819
Bi 6.4570 2.6290 1.9819
Bi 2.6290 1.1990 1.9819
```

[7]
The following is a DFT calculation (GGA-PBE) of a geometry-optimized Ac3Dy2Y4 structure. Values from VASP.

Calculated values
* density: 6.93 g/cm3
* energy relative to the elements: 0.0821 eV per atom

```
&SYSTEM
  ibrav = 0, nat = 9, ntyp = 3
/
ATOMIC_SPECIES
Ac 227.00 Ac.upf
Dy 162.50 Dy.upf
Y 88.91 Y.upf
CELL_PARAMETERS angstrom
-3.1439 3.1492 3.8231
-6.5808 0.8604 -1.6191
-6.8971 -6.4199 4.1181
ATOMIC_POSITIONS angstrom
Ac 0.0000 0.0000 0.0000
Ac -8.7237 0.0055 1.8241
Ac -7.8981 -2.4158 4.4979
Dy -11.1508 -0.6749 4.8903
Dy -5.4710 -1.7354 1.4317
Y -5.6209 0.5904 3.8940
Y -11.0009 -3.0006 2.4280
Y -13.1016 -3.4225 5.5493
Y -3.5202 1.0122 0.7727
```

[8]
The following is a DFT calculation (GGA-PBE) of a geometry-optimized LaTbO3 structure. Values from VASP.

Calculated values
* density: 6.94 g/cm3
* raw formation energy: -16.680 eV/f.u.

```
&SYSTEM
  ibrav = 0, nat = 10, ntyp = 3
/
ATOMIC_SPECIES
La 138.91 La.upf
Tb 158.93 Tb.upf
O 16.00 O.upf
CELL_PARAMETERS angstrom
-4.6030 -2.1038 -2.8788
-0.8609 -5.7501 -0.3094
-4.8747 -2.4156 3.6716
ATOMIC_POSITIONS angstrom
La -3.5826 -2.5012 1.6682
La -6.7560 -7.7683 -1.1848
Tb -6.5422 -5.0437 2.3705
Tb -3.7964 -5.2257 -1.8871
O -3.2673 -6.6291 -0.1812
O -6.0249 -5.6500 -2.0015
O -3.8774 -3.2801 -0.7178
O -7.4312 -6.0442 0.5353
O -4.5369 -6.1099 2.4047
O -5.8782 -3.0951 1.4108
```

[9]
The following is a DFT calculation (GGA-PBE) of a geometry-optimized AcZrBr structure. Values from VASP.

Calculated values
* density: 6.65 g/cm3
* raw formation energy: -2.034 eV/f.u.

```
&SYSTEM
  ibrav = 0, nat = 6, ntyp = 3
/
ATOMIC_SPECIES
Zr 91.22 Zr.upf
Ac 227.00 Ac.upf
Br 79.90 Br.upf
CELL_PARAMETERS angstrom
-5.5773 -0.1069 0.9795
-2.3162 -0.8167 3.1141
5.9498 12.2700 2.4835
ATOMIC_POSITIONS angstrom
Zr -2.6967 2.9714 1.8106
Zr 0.0607 2.0035 1.0299
Ac 0.5320 5.3519 1.9243
Ac 3.5202 11.9020 3.2858
Br -2.1858 7.0149 2.9014
Br 0.6958 10.1304 3.2820
```

[10]
The following is a DFT calculation (GGA-PBE) of a geometry-optimized Sm4Te2RuBr structure. Values from VASP.

Calculated values
* density: 7.31 g/cm3
* raw formation energy: -8.208 eV/f.u.

```
&SYSTEM
  ibrav = 0, nat = 8, ntyp = 4
/
ATOMIC_SPECIES
Sm 150.36 Sm.upf
Te 127.60 Te.upf
Ru 101.07 Ru.upf
Br 79.90 Br.upf
CELL_PARAMETERS angstrom
-3.8983 -1.5372 0.3292
-0.6592 0.0335 -7.6488
2.4660 -6.7863 -2.4873
ATOMIC_POSITIONS angstrom
Sm 1.2982 -4.8688 -7.3613
Sm -3.3897 -3.4211 -2.4455
Sm -1.7065 -2.7032 -5.9950
Sm -0.3850 -5.5868 -3.8118
Te 2.4659 -6.7863 -2.4873
Te -0.7162 -4.1617 -1.0790
Ru 0.9034 -3.3764 -5.0680
Br -2.2788 -0.7518 -3.6598
```

[11]
The following is a DFT calculation (GGA-PBE) of a geometry-optimized In2Sn2Pb structure. Values from VASP.

Calculated values
* density: 7.78 g/cm3
* energy relative to the elements: 0.0477 eV per atom

```
&SYSTEM
  ibrav = 0, nat = 5, ntyp = 3
/
ATOMIC_SPECIES
In 114.82 In.upf
Sn 118.71 Sn.upf
Pb 207.20 Pb.upf
CELL_PARAMETERS angstrom
-1.8545 -4.3989 -2.1774
1.5986 -1.3230 -4.8192
4.4675 -4.8226 0.2245
ATOMIC_POSITIONS angstrom
In 2.5080 -3.7292 -3.7480
In 1.7036 -6.8153 -3.0242
Sn 0.1410 -3.8794 -1.6483
Sn 4.0705 -6.6651 -5.1238
Pb 0.7993 -0.6615 -2.4096
```

[12]
The following is a DFT calculation (GGA-PBE) of a geometry-optimized Sc2Fe5Si2Mo structure. Values from VASP.

Calculated values
* density: 6.51 g/cm3
* raw formation energy: -3.240 eV/f.u.

```
&SYSTEM
  ibrav = 0, nat = 20, ntyp = 4
/
ATOMIC_SPECIES
Sc 44.96 Sc.upf
Fe 55.84 Fe.upf
Si 28.09 Si.upf
Mo 95.94 Mo.upf
CELL_PARAMETERS angstrom
3.0654 0.0000 0.0000
0.0000 9.3159 0.0000
0.0000 0.0000 9.3159
ATOMIC_POSITIONS angstrom
Sc 0.0000 6.2627 1.6048
Sc 0.0000 3.0532 7.7111
Sc 0.0000 1.6048 3.0532
Sc 0.0000 7.7111 6.2627
Fe 1.5327 1.9022 0.6161
Fe 1.5327 7.4137 8.6998
Fe 1.5327 0.6161 7.4137
Fe 1.5327 6.5601 4.0419
Fe 1.5327 8.6998 1.9022
Fe 1.5327 2.7558 5.2740
Fe 1.5327 5.2740 6.5601
Fe 1.5327 4.0419 2.7558
Fe 1.5327 4.6579 0.0000
Fe 1.5327 0.0000 4.6579
Si 0.0000 1.1694 5.8274
Si 0.0000 8.1464 3.4885
Si 0.0000 5.8274 8.1464
Si 0.0000 3.4885 1.1694
Mo 0.0000 0.0000 0.0000
Mo 0.0000 4.6579 4.6579
```